Compound: BaGaPO2
Source: Alexandria
Functional: PBE
Structure: optimized geometry

Cell lengths 4.428, 4.428, 6.802 Å; angles 90.00, 90.00, 90.00 degrees
Space group P4/mmm (No. 123)
Unique sites:
1 Ba 0.000 0.000 0.000 [1 per cell]
2 Ga 0.500 0.500 0.500 [1 per cell]
3 P 0.000 0.000 0.500 [1 per cell]
4 O 0.000 0.500 0.000 [2 per cell]

## Properties
- DOS at the Fermi energy: 3.18 states/eV per cell
- E_form (uncorrected): 0.12 eV/atom
- ΔE to the lowest computed polymorph: 5.075 eV/f.u.

---

Compound: BaLaTi2
Source: Alexandria
Functional: PBE
Structure: optimized geometry

Cell lengths 5.040, 5.040, 21.691 Å; angles 90.00, 90.00, 90.00 degrees
Space group I4_1/amd (No. 141, origin choice 2)
Unique sites:
1 Ba 0.000 0.250 0.375 [4 per cell]
2 La 0.000 0.250 0.875 [4 per cell]
3 Ti 0.000 0.000 0.000 [8 per cell]

## Properties
- DOS at the Fermi energy: 27.64 states/eV per cell
- DFT formation energy: 1.016 eV/atom
- ΔE to the lowest computed polymorph: 1.120 eV/f.u.

---

Compound: Tc2MoRu
Source: Alexandria
Functional: PBE
Structure: optimized geometry

Cell lengths 2.738, 2.738, 7.902 Å; angles 90.00, 90.00, 90.00 degrees
Space group P4/mmm (No. 123)
Unique sites:
1 Tc 0.000 0.000 0.240 [2 per cell]
2 Mo 0.500 0.500 0.500 [1 per cell]
3 Ru 0.500 0.500 0.000 [1 per cell]

## Properties
- DOS at the Fermi energy: 4.80 states/eV per cell
- DFT formation energy: 0.120 eV/atom
- ΔE to the lowest computed polymorph: 0.418 eV/f.u.

---

Compound: Y2MnGa6
Source: Alexandria
Functional: PBE
Structure: optimized geometry

Cell lengths 8.748, 8.748, 8.748 Å; angles 90.00, 90.00, 90.00 degrees
Space group Fm-3m (No. 225)
Unique sites:
1 Y 0.250 0.250 0.250 [8 per cell]
2 Mn 0.000 0.000 0.000 [4 per cell]
3 Ga 0.000 0.000 0.280 [24 per cell]

## Properties
- DOS at the Fermi energy: 9.00 states/eV per cell
- DFT formation energy: -0.522 eV/atom

---

Compound: CaLa2Tl
Source: Alexandria
Functional: PBE
Structure: optimized geometry

Cell lengths 9.413, 9.413, 6.652 Å; angles 90.00, 90.00, 90.00 degrees
Space group I-42d (No. 122)
Unique sites:
1 Ca 0.000 0.000 0.000 [4 per cell]
2 La 0.212 0.250 0.625 [8 per cell]
3 Tl 0.000 0.000 0.500 [4 per cell]

## Properties
- DOS at the Fermi energy: 18.96 states/eV per cell
- DFT formation energy: 0.022 eV/atom
- ΔE to the lowest computed polymorph: 0.881 eV/f.u.

---

Compound: LaBeAs2
Source: Alexandria
Functional: PBE
Structure: optimized geometry

Cell lengths 4.035, 4.035, 19.980 Å; angles 90.00, 90.00, 90.00 degrees
Space group I4/mmm (No. 139)
Unique sites:
1 La 0.000 0.000 0.115 [4 per cell]
2 Be 0.000 0.500 0.250 [4 per cell]
3 As 0.000 0.000 0.312 [4 per cell]
4 As 0.000 0.500 0.000 [4 per cell]

## Properties
- DOS at the Fermi energy: 3.41 states/eV per cell
- DFT formation energy: -0.776 eV/atom

---

Compound: CaTl2HgI6
Source: Alexandria
Functional: PBE
Structure: optimized geometry

Cell lengths 8.441, 8.447, 8.551 Å; angles 90.08, 119.52, 119.95 degrees
Space group P1 (No. 1)
Unique sites:
1 Ca 0.000 0.000 0.000 [1 per cell]
2 Tl 0.574 0.787 0.360 [1 per cell]
3 Tl 0.583 0.292 0.875 [1 per cell]
4 Hg 0.008 0.504 0.511 [1 per cell]
5 I 0.075 0.232 0.720 [1 per cell]
6 I 0.075 0.347 0.228 [1 per cell]
7 I 0.488 0.843 0.720 [1 per cell]
8 I 0.500 0.153 0.228 [1 per cell]
9 I 0.876 0.644 0.719 [1 per cell]
10 I 0.881 0.728 0.228 [1 per cell]

## Properties
- E_form (uncorrected): -0.77 eV/atom

---

Compound: Sr2Ca2Au15
Source: Alexandria
Functional: PBE
Structure: optimized geometry

Cell lengths 9.7419, 9.7419, 14.8509 Å; angles 90.00, 90.00, 120.00 degrees
Space group R-3m (No. 166, hexagonal axes)
Unique sites:
1 Sr 0.0000 0.0000 0.1452 [6 per cell]
2 Ca 0.0000 0.0000 0.3947 [6 per cell]
3 Au 0.0000 0.2994 0.5000 [18 per cell]
4 Au 0.0000 0.5000 0.0000 [9 per cell]
5 Au 0.0074 0.5037 0.6468 [18 per cell]

## Properties
- DOS at the Fermi energy: 25.57 states/eV per cell
- DFT formation energy: -0.444 eV/atom

---

Compound: SmZn7Cu5
Source: Alexandria
Functional: PBE
Structure: optimized geometry

Cell lengths 4.961, 8.871, 8.774 Å; angles 90.00, 90.00, 90.00 degrees
Space group Imm2 (No. 44)
Unique sites:
1 Sm 0.000 0.000 0.000 [2 per cell]
2 Zn 0.000 0.000 0.352 [2 per cell]
3 Zn 0.000 0.000 0.655 [2 per cell]
4 Zn 0.000 0.285 0.506 [4 per cell]
5 Zn 0.000 0.351 0.012 [4 per cell]
6 Zn 0.000 0.500 0.729 [2 per cell]
7 Cu 0.000 0.500 0.283 [2 per cell]
8 Cu 0.250 0.250 0.258 [8 per cell]

## Properties
- DOS at the Fermi energy: 14.03 states/eV per cell
- DFT formation energy: -0.184 eV/atom

---

Compound: BaTlIn2Ir
Source: Alexandria
Functional: PBE
Structure: optimized geometry

Cell lengths 5.244, 5.244, 5.338 Å; angles 90.00, 90.00, 90.00 degrees
Space group P4/mmm (No. 123)
Unique sites:
1 Ba 0.000 0.000 0.000 [1 per cell]
2 Tl 0.500 0.500 0.000 [1 per cell]
3 In 0.000 0.500 0.500 [2 per cell]
4 Ir 0.500 0.500 0.500 [1 per cell]

## Properties
- DOS at the Fermi energy: 1.88 states/eV per cell
- DFT formation energy: -0.227 eV/atom
- ΔE to the lowest computed polymorph: 0.000 eV/f.u.

---

Compound: Ca2TlHg
Source: Alexandria
Functional: PBE
Structure: optimized geometry

Cell lengths 3.9039, 3.9039, 28.4903 Å; angles 90.00, 90.00, 120.00 degrees
Space group R-3m (No. 166, hexagonal axes)
Unique sites:
1 Ca 0.0000 0.0000 0.2464 [6 per cell]
2 Tl 0.0000 0.0000 0.0000 [3 per cell]
3 Hg 0.0000 0.0000 0.5000 [3 per cell]

## Properties
- DOS at the Fermi energy: 8.67 states/eV per cell
- DFT formation energy: -0.342 eV/atom

---

Compound: K4BiP2
Source: Alexandria
Functional: PBE
Structure: optimized geometry

Cell lengths 12.017, 12.017, 4.462 Å; angles 90.00, 90.00, 90.00 degrees
Space group I4/m (No. 87)
Unique sites:
1 K 0.023 0.757 0.000 [8 per cell]
2 Bi 0.000 0.000 0.500 [2 per cell]
3 P 0.000 0.500 0.250 [4 per cell]

## Properties
- DOS at the Fermi energy: 8.47 states/eV per cell
- DFT formation energy: -0.180 eV/atom

---

Compound: Tc2MoP
Source: Alexandria
Functional: PBE
Structure: optimized geometry

Cell lengths 8.483, 2.848, 4.789 Å; angles 90.00, 93.27, 90.00 degrees
Space group C2/m (No. 12)
Unique sites:
1 Tc 0.249 0.000 0.263 [4 per cell]
2 Mo 0.000 0.500 0.000 [2 per cell]
3 P 0.000 0.000 0.500 [2 per cell]

## Properties
- DOS at the Fermi energy: 7.89 states/eV per cell
- DFT formation energy: 0.041 eV/atom

---

Compound: CaBeMo3
Source: Alexandria
Functional: PBE
Structure: optimized geometry

Cell lengths 4.582, 4.582, 4.582 Å; angles 90.00, 90.00, 90.00 degrees
Space group Pm-3m (No. 221)
Unique sites:
1 Ca 0.000 0.000 0.000 [1 per cell]
2 Be 0.500 0.500 0.500 [1 per cell]
3 Mo 0.000 0.000 0.500 [3 per cell]

## Properties
- DOS at the Fermi energy: 4.77 states/eV per cell
- DFT formation energy: 2.860 eV/atom
- ΔE to the lowest computed polymorph: 9.562 eV/f.u.

---

Compound: AlCBr2
Source: Alexandria
Functional: PBE
Structure: optimized geometry

Cell lengths 6.341, 6.341, 11.634 Å; angles 90.00, 90.00, 90.00 degrees
Space group I-42d (No. 122)
Unique sites:
1 Al 0.000 0.000 0.000 [4 per cell]
2 C 0.000 0.000 0.500 [4 per cell]
3 Br 0.100 0.250 0.625 [8 per cell]

## Properties
- DOS at the Fermi energy: 6.62 states/eV per cell
- E_form (uncorrected): 1.37 eV/atom
- ΔE to the lowest computed polymorph: 0.000 eV/f.u.

---

Compound: PaVH2
Source: Alexandria
Functional: PBE
Structure: optimized geometry

Cell lengths 2.852, 2.852, 5.308 Å; angles 90.00, 90.00, 90.00 degrees
Space group P4/mmm (No. 123)
Unique sites:
1 Pa 0.000 0.000 0.000 [1 per cell]
2 V 0.000 0.000 0.500 [1 per cell]
3 H 0.500 0.500 0.304 [2 per cell]

## Properties
- DOS at the Fermi energy: 3.44 states/eV per cell
- ΔE to the lowest computed polymorph: 2.099 eV/f.u.

---

Raw total energy for every record listed, in sequence, given in eV/atom: -3.9306, -4.6435, -10.0896, -4.9954, -3.5341, -5.2646, -2.4023, -3.4195, -2.8088, -3.9526, -2.0096, -2.9071, -9.2025, -4.7842, -2.7126, -5.8936.